(w)
Material: B2C
Method: DFT, GGA-PBE
State: relaxed

The total magnetization is 0.0 μB per formula unit. The value obtained for the volume is 6.8 A^3/atom. The calculation puts the calculated density at 2.73 g/cm³.

It has space group P1 (No. 1), with a = 3.518 Å, b = 4.574 Å, c = 5.544 Å, α = 68.97°, β = 84.96° and γ = 79.49°. The inequivalent atoms are B at (0.000, 0.000, 0.000), B at (0.002, 0.411, 0.897), B at (0.060, 0.981, 0.564), B at (0.174, 0.190, 0.210), B at (0.288, 0.231, 0.703), B at (0.323, 0.621, 0.118), B at (0.591, 0.953, 0.208), B at (0.990, 0.377, 0.413), C at (0.358, 0.633, 0.643), C at (0.596, 0.605, 0.392), C at (0.609, 0.641, 0.859) and C at (0.686, 0.980, 0.765).

(x)
Material: B2C
Method: DFT, GGA-PBE
State: relaxed

The total magnetization is 0.0 μB per formula unit. The value obtained for the volume is 7.0 A^3/atom. The calculation puts the calculated density at 2.65 g/cm³.

It has space group C2/m (No. 12), with a = 8.520 Å, b = 2.690 Å, c = 7.962 Å, α = 90.00°, β = 112.59° and γ = 90.00°. The inequivalent atoms are B at (0.047, 0.000, 0.349), B at (0.063, 0.500, 0.933), B at (0.214, 0.500, 0.174), B at (0.242, 0.500, 0.658), C at (0.082, 0.500, 0.480) and C at (0.102, 0.000, 0.845).

Out of the structures above, which one is the most stable? Solution: (x).